## HfTiSe3 (PBE)

Data for an optimized crystal structure of HfTiSe3.

a = 3.780 Å, b = 6.573 Å, c = 9.853 Å
α = 90.00°, β = 101.06°, γ = 90.00°
Atoms (fractional coordinates):
Hf: 0.335 0.501 0.670
Hf: 0.665 0.001 0.330
Ti: 0.827 0.983 0.654
Ti: 0.173 0.483 0.346
Se: 0.906 0.313 0.812
Se: 0.094 0.813 0.188
Se: 0.595 0.338 0.189
Se: 0.405 0.838 0.811
Se: 0.749 0.659 0.497
Se: 0.251 0.159 0.503

Results
Total moment   0.00 μB/cell
Formation energy without anion corrections   -1.162 eV per atom


## PaTiNbV (PBE)

Data for an optimized crystal structure of PaTiNbV.

a = 4.685 Å, b = 4.685 Å, c = 4.685 Å
α = 60.00°, β = 60.00°, γ = 60.00°
Atoms (fractional coordinates):
Nb: 0.500 0.500 0.500
Pa: 0.250 0.250 0.250
Ti: 0.750 0.750 0.750
V: 0.000 0.000 0.000

Results
Total moment   0.00 μB/cell
E_form   26.0 meV per atom


## Be3MoPd (PBE)

Data for an optimized crystal structure of Be3MoPd.

a = 4.182 Å, b = 4.182 Å, c = 4.182 Å
α = 90.00°, β = 90.00°, γ = 90.00°
Atoms (fractional coordinates):
Be: 0.000 0.500 0.000
Be: 0.000 0.000 0.500
Be: 0.500 0.000 0.000
Mo: 0.000 0.000 0.000
Pd: 0.500 0.500 0.500

Results
Total moment   0.00 μB/cell
E_form   1244.0 meV per atom


## Ce2UGe4Pt3 (PBE)

Data for an optimized crystal structure of Ce2UGe4Pt3.

a = 4.321 Å, b = 4.321 Å, c = 11.225 Å
α = 90.00°, β = 90.00°, γ = 90.00°
Atoms (fractional coordinates):
Ce: 0.500 0.000 0.235
Ce: 0.000 0.500 0.765
U: 0.500 0.500 0.500
Ge: 0.500 0.500 0.000
Ge: 0.000 0.000 0.000
Ge: 0.500 0.000 0.666
Ge: 0.000 0.500 0.334
Pt: 0.000 0.000 0.500
Pt: 0.500 0.000 0.885
Pt: 0.000 0.500 0.115

Results
Total moment   3.73 μB/cell
E_form   -697.1 meV per atom


## LiAl4Ni5 (PBE)

Data for an optimized crystal structure of LiAl4Ni5.

a = 2.902 Å, b = 2.902 Å, c = 14.143 Å
α = 90.00°, β = 90.00°, γ = 90.00°
Atoms (fractional coordinates):
Li: 0.000 0.000 0.000
Al: 0.000 0.000 0.195
Al: 0.000 0.000 0.399
Al: 0.000 0.000 0.601
Al: 0.000 0.000 0.805
Ni: 0.500 0.500 0.099
Ni: 0.500 0.500 0.298
Ni: 0.500 0.500 0.500
Ni: 0.500 0.500 0.702
Ni: 0.500 0.500 0.901

Results
Total moment   0.00 μB/cell
E_form   -530.0 meV per atom


## BaNiTe (PBE)

Data for an optimized crystal structure of BaNiTe.

a = 4.601 Å, b = 4.601 Å, c = 8.664 Å
α = 105.40°, β = 105.40°, γ = 90.00°
Atoms (fractional coordinates):
Te: 0.103 0.103 0.206
Te: 0.897 0.897 0.794
Ni: 0.000 0.500 0.000
Ni: 0.500 0.000 0.000
Ba: 0.653 0.653 0.306
Ba: 0.347 0.347 0.694

Results
Total moment   0.00 μB/cell
Formation energy without anion corrections   -0.488 eV per atom


## SmY14Zr (PBE)

Data for an optimized crystal structure of SmY14Zr.

a = 7.112 Å, b = 7.112 Å, c = 9.985 Å
α = 90.00°, β = 90.00°, γ = 89.99°
Atoms (fractional coordinates):
Sm: 0.375 0.625 0.000
Y: 0.375 0.625 0.500
Y: 0.875 0.125 0.500
Y: 0.875 0.625 0.000
Y: 0.875 0.625 0.500
Y: 0.375 0.125 0.000
Y: 0.375 0.125 0.500
Y: 0.630 0.880 0.756
Y: 0.630 0.880 0.244
Y: 0.120 0.370 0.756
Y: 0.120 0.370 0.244
Y: 0.120 0.880 0.756
Y: 0.120 0.880 0.244
Y: 0.630 0.370 0.756
Y: 0.630 0.370 0.244
Zr: 0.875 0.125 0.000

Results
Total moment   0.00 μB/cell
E_form   42.7 meV per atom


## NaAgH3 (PBE)

Data for an optimized crystal structure of NaAgH3.

a = 3.752 Å, b = 3.752 Å, c = 3.752 Å
α = 90.00°, β = 90.00°, γ = 90.00°
Atoms (fractional coordinates):
Na: 0.500 0.500 0.500
Ag: 0.000 0.000 0.000
H: 0.000 0.500 0.000
H: 0.000 0.000 0.500
H: 0.500 0.000 0.000

Results
Final energy   -2.804 eV/atom
Total moment   0.00 μB/cell


## Sn2Hg2Te (PBE)

Data for an optimized crystal structure of Sn2Hg2Te.

a = 4.213 Å, b = 4.213 Å, c = 8.709 Å
α = 76.00°, β = 76.00°, γ = 90.00°
Atoms (fractional coordinates):
Te: 0.000 0.000 0.000
Hg: 0.407 0.407 0.185
Hg: 0.593 0.593 0.815
Sn: 0.750 0.250 0.500
Sn: 0.250 0.750 0.500

Results
Total moment   0.00 μB/cell
Formation energy without anion corrections   0.159 eV per atom


## Be2CuPb (PBE)

Data for an optimized crystal structure of Be2CuPb.

a = 3.873 Å, b = 3.873 Å, c = 5.442 Å
α = 68.82°, β = 68.82°, γ = 59.93°
Atoms (fractional coordinates):
Pb: 0.750 0.750 0.750
Be: 0.933 0.933 0.202
Be: 0.567 0.567 0.298
Cu: 0.250 0.250 0.250

Results
Total moment   0.00 μB/cell
E_form   270.5 meV per atom


## NbSbBr2 (PBE)

Data for an optimized crystal structure of NbSbBr2.

a = 9.425 Å, b = 9.425 Å, c = 7.202 Å
α = 49.13°, β = 49.13°, γ = 90.00°
Atoms (fractional coordinates):
Sb: 0.000 0.000 0.000
Sb: 0.750 0.250 0.500
Nb: 0.500 0.500 0.000
Nb: 0.250 0.750 0.500
Br: 0.490 0.125 0.250
Br: 0.260 0.625 0.250
Br: 0.375 0.510 0.750
Br: 0.875 0.740 0.750

Results
Total moment   0.76 μB/cell
Formation energy without anion corrections   -0.025 eV per atom


## Tb2HoCu (PBE)

Data for an optimized crystal structure of Tb2HoCu.

a = 6.484 Å, b = 6.838 Å, c = 9.707 Å
α = 90.00°, β = 90.00°, γ = 90.00°
Atoms (fractional coordinates):
Tb: 0.185 0.693 0.060
Tb: 0.315 0.193 0.440
Tb: 0.815 0.307 0.560
Tb: 0.685 0.807 0.940
Tb: 0.815 0.307 0.940
Tb: 0.685 0.807 0.560
Tb: 0.185 0.693 0.440
Tb: 0.315 0.193 0.060
Ho: 0.633 0.520 0.250
Ho: 0.867 0.020 0.250
Ho: 0.367 0.480 0.750
Ho: 0.133 0.980 0.750
Cu: 0.050 0.405 0.250
Cu: 0.450 0.905 0.250
Cu: 0.950 0.595 0.750
Cu: 0.550 0.095 0.750

Results
Total moment   0.00 μB/cell
E_form   -102.4 meV per atom


Respective D(E_F) values: 2.67; 5.26; 2.72; 18.81; 5.87; 3.61; 21.82; 0.56; 2.72; 1.24; 10.81; 17.82 states/eV/cell.